Entry 1:
{"formula": "TbSmAsO2", "functional": "PBE-GGA", "state": "optimized geometry", "volume_a3_per_atom": 19.3, "formation_energy_uncorrected_ev_per_atom": -2.642, "total_magnetization_mub_per_fu": 0.0, "cell": [[3.847, 0.000, 0.000], [0.000, 3.847, 0.000], [-1.923, -1.923, 6.518]], "species": ["Tb", "Sm", "As", "O", "O"], "fractional_positions": [[0.161, 0.161, 0.322], [0.842, 0.842, 0.684], [0.501, 0.501, 0.003], [0.748, 0.248, 0.496], [0.248, 0.748, 0.496]]}

=====

Entry 2:
{"formula": "Sm8Te4As3O", "functional": "PBE-GGA", "state": "optimized geometry", "volume_a3_per_atom": 27.3, "formation_energy_uncorrected_ev_per_atom": -1.582, "total_magnetization_mub_per_fu": 0.0, "cell": [[-0.637, 7.079, 4.425], [-8.144, 1.026, -2.814], [2.083, -7.153, 3.822]], "species": ["Sm", "Sm", "Sm", "Sm", "Sm", "Sm", "Sm", "Sm", "Te", "Te", "Te", "Te", "As", "As", "As", "O"], "fractional_positions": [[0.226, 0.706, 0.980], [0.226, 0.707, 0.453], [0.260, 0.281, 0.521], [0.755, 0.706, 0.980], [0.245, 0.294, 0.020], [0.740, 0.719, 0.479], [0.774, 0.293, 0.547], [0.774, 0.294, 0.020], [0.500, 0.000, 0.000], [0.500, 0.000, 0.500], [0.000, 0.000, 0.000], [0.000, 0.000, 0.500], [0.500, 0.500, 0.000], [0.500, 0.500, 0.500], [0.000, 0.500, 0.500], [0.000, 0.500, 0.000]]}